The following is a DFT calculation (PBE) of crystalline Al2Ag6Hg at its relaxed geometry.

Output
As for the total energy: -2.7488 eV/atom. Its calculated formation energy is 0.156 eV/f.u.

Geometry as CIF:
```
data_Al2Ag6Hg
_cell_length_a 13.454
_cell_length_b 9.804
_cell_length_c 4.948
_cell_angle_alpha 90.00
_cell_angle_beta 97.21
_cell_angle_gamma 90.00
_space_group_name_H-M_alt 'C 1 2/c 1'
_space_group_IT_number 15
loop_
_space_group_symop_operation_xyz
'x,y,z'
'-x,-y,-z'
'-x,y,-z+1/2'
'x,-y,z+1/2'
'x+1/2,y+1/2,z'
'-x+1/2,-y+1/2,-z'
'-x+1/2,y+1/2,-z+1/2'
'x+1/2,-y+1/2,z+1/2'
loop_
_atom_site_label
_atom_site_type_symbol
_atom_site_fract_x
_atom_site_fract_y
_atom_site_fract_z
_atom_site_occupancy
Al1 Al 0.165 0.123 0.092 1
Ag1 Ag 0.055 0.121 0.522 1
Ag2 Ag 0.123 0.360 0.814 1
Ag3 Ag 0.231 0.379 0.353 1
Hg1 Hg 0.000 0.387 0.250 1
```

=====

The following is a DFT calculation (PBE) of crystalline AlAgHg2 at its relaxed geometry.

Output
As for the total energy: -1.6397 eV/atom. Its calculated formation energy is 0.639 eV/f.u.

Geometry as CIF:
```
data_AlAgHg2
_cell_length_a 4.310
_cell_length_b 4.310
_cell_length_c 8.835
_cell_angle_alpha 90.00
_cell_angle_beta 90.00
_cell_angle_gamma 90.00
_space_group_name_H-M_alt 'I -4 m 2'
_space_group_IT_number 119
_space_group_name_Hall 'I -4 -2'
loop_
_atom_site_label
_atom_site_type_symbol
_atom_site_fract_x
_atom_site_fract_y
_atom_site_fract_z
_atom_site_occupancy
Al1 Al 0.000 0.000 0.000 1
Ag1 Ag 0.000 0.500 0.250 1
Hg1 Hg 0.000 0.000 0.500 1
Hg2 Hg 0.000 0.500 0.750 1
```

=====

The following is a DFT calculation (PBE) of crystalline AlAgHg3 at its relaxed geometry.

Output
As for the total energy: -1.1660 eV/atom. The calculation puts the distance to the lowest polymorph of the same formula at 0.0 kJ/mol of formula units. Its calculated formation energy is 1.669 eV/f.u.

Geometry as CIF:
```
data_AlAgHg3
_cell_length_a 5.223
_cell_length_b 5.223
_cell_length_c 5.223
_cell_angle_alpha 90.00
_cell_angle_beta 90.00
_cell_angle_gamma 90.00
_space_group_name_H-M_alt 'P m -3 m'
_space_group_IT_number 221
_space_group_name_Hall '-P 4 2 3'
loop_
_atom_site_label
_atom_site_type_symbol
_atom_site_fract_x
_atom_site_fract_y
_atom_site_fract_z
_atom_site_occupancy
Al1 Al 0.000 0.000 0.000 1
Ag1 Ag 0.500 0.500 0.500 1
Hg1 Hg 0.000 0.000 0.500 1
```

=====

The following is a DFT calculation (PBE) of crystalline AlAgHg2 at its relaxed geometry.

Output
As for the total energy: -1.6489 eV/atom. Its calculated formation energy is 0.602 eV/f.u.

Geometry as CIF:
```
data_AlAgHg2
_cell_length_a 4.460
_cell_length_b 4.460
_cell_length_c 8.273
_cell_angle_alpha 90.00
_cell_angle_beta 90.00
_cell_angle_gamma 90.00
_space_group_name_H-M_alt 'I 4/m m m'
_space_group_IT_number 139
_space_group_name_Hall '-I 4 2'
loop_
_atom_site_label
_atom_site_type_symbol
_atom_site_fract_x
_atom_site_fract_y
_atom_site_fract_z
_atom_site_occupancy
Al1 Al 0.000 0.000 0.000 1
Ag1 Ag 0.000 0.000 0.500 1
Hg1 Hg 0.000 0.500 0.250 1
```